CoBiIrPd: optimized geometry, PBE.

It has space group F-43m (No. 216), with a = 6.418 Å, b = 6.418 Å, c = 6.418 Å, α = 90.00°, β = 90.00° and γ = 90.00°. The inequivalent atoms are Co at (0.000, 0.000, 0.000), Bi at (0.250, 0.250, 0.750), Ir at (0.000, 0.000, 0.500) and Pd at (0.250, 0.250, 0.250).

For the excess energy over the best structure of this formula in the dataset, the calculation gives 0 meV per atom.